Record 1
Below is crystalline Ac2MgGe4Pt3 at its relaxed geometry, with properties calculated at the GGA-PBE level.

Space-group type   P-4m2

Cell lengths 4.4282, 4.4282, 10.8126 Å; angles 90.00, 90.00, 90.00 degrees
Fractional coordinates of all 10 atoms:
1 Ac 0.0000 0.5000 0.2443
2 Ac 0.5000 0.0000 0.7557
3 Mg 0.0000 0.0000 0.5000
4 Ge 0.0000 0.0000 0.0000
5 Ge 0.0000 0.5000 0.6426
6 Ge 0.5000 0.0000 0.3574
7 Ge 0.5000 0.5000 0.0000
8 Pt 0.0000 0.5000 0.8798
9 Pt 0.5000 0.0000 0.1202
10 Pt 0.5000 0.5000 0.5000

=====

Record 2
Below is crystalline AcMgGe2Pt5 at its relaxed geometry, with properties calculated at the GGA-PBE level.

Space-group type   P4/mmm

Cell lengths 4.8073, 4.8073, 8.0286 Å; angles 90.00, 90.00, 90.00 degrees
Fractional coordinates of all 9 atoms:
1 Ac 0.0000 0.0000 0.0000
2 Mg 0.0000 0.0000 0.5000
3 Ge 0.5000 0.5000 0.3016
4 Ge 0.5000 0.5000 0.6984
5 Pt 0.0000 0.5000 0.3207
6 Pt 0.0000 0.5000 0.6793
7 Pt 0.5000 0.0000 0.3207
8 Pt 0.5000 0.0000 0.6793
9 Pt 0.5000 0.5000 0.0000

=====

Record 3
Below is crystalline AcMgGePt2 at its relaxed geometry, with properties calculated at the GGA-PBE level.

Space-group type   I-4m2

Cell lengths 6.6143, 6.6143, 6.6143 Å; angles 142.27, 142.27, 54.42 degrees
Fractional coordinates of all 5 atoms:
1 Ac 0.0000 0.0000 0.0000
2 Mg 0.7500 0.2500 0.5000
3 Ge 0.2500 0.7500 0.5000
4 Pt 0.3822 0.3822 0.0000
5 Pt 0.6178 0.6178 0.0000

=====

Record 4
Below is crystalline Ac2MgGe3Pt4 at its relaxed geometry, with properties calculated at the GGA-PBE level.

Space-group type   P-4m2

Cell lengths 4.4796, 4.4796, 10.4329 Å; angles 90.00, 90.00, 90.00 degrees
Fractional coordinates of all 10 atoms:
1 Ac 0.0000 0.5000 0.2460
2 Ac 0.5000 0.0000 0.7540
3 Mg 0.0000 0.0000 0.5000
4 Ge 0.0000 0.5000 0.8766
5 Ge 0.5000 0.0000 0.1234
6 Ge 0.5000 0.5000 0.5000
7 Pt 0.0000 0.0000 0.0000
8 Pt 0.0000 0.5000 0.6345
9 Pt 0.5000 0.0000 0.3655
10 Pt 0.5000 0.5000 0.0000

=====

no.,calculated density (g/cm3),E_tot (eV per formula unit),volume (A^3/atom)
1,10.61,-55.19,21.20
2,12.28,-49.91,20.62
3,11.02,-26.95,21.52
4,11.71,-57.32,20.94